Below is a relaxed La6Ge2Au crystal, with properties calculated at the PBE level.

Results
formation enthalpy at 0 K: -0.56 eV per atom
SG: Immm (71)

Geometry as POSCAR:
```
La6Ge2Au
1.0
-5.0903 5.1797 5.2573
5.0903 -5.1797 5.2573
5.0903 5.1797 -5.2573
La Ge Au
12 4 2
direct
0.0490 0.2419 0.8071 La
0.1679 0.4630 0.2952 La
0.1679 0.8727 0.7048 La
0.3302 0.2371 0.5672 La
0.3302 0.7629 0.0931 La
0.4348 0.2419 0.1929 La
0.5652 0.7581 0.8071 La
0.6698 0.2371 0.9069 La
0.6698 0.7629 0.4328 La
0.8321 0.1273 0.2952 La
0.8321 0.5370 0.7048 La
0.9510 0.7581 0.1929 La
0.1517 0.5000 0.6517 Ge
0.3794 0.8794 0.5000 Ge
0.6206 0.1206 0.5000 Ge
0.8483 0.5000 0.3483 Ge
0.0000 0.0000 0.0000 Au
0.5000 0.5000 0.0000 Au
```